1.
Density functional theory data (PBE-GGA) for a geometry-optimized SmDy5Sb2 structure.

Computed properties:
The crystal system is orthorhombic. The calculation puts the formation energy from raw total energies at -4.1 eV/f.u. The total magnetization is 0.00 Bohr magnetons per cell. The electronic total energy is -5.01 eV/atom.

Cell and atoms, written as CIF:
```
data_SmDy5Sb2
_chemical_formula_sum 'Sm4 Dy20 Sb8'
_cell_length_a 4.190
_cell_length_b 12.070
_cell_length_c 18.983
_cell_angle_alpha 90.00
_cell_angle_beta 90.00
_cell_angle_gamma 90.00
_symmetry_space_group_name_H-M 'C m c m'
_symmetry_Int_Tables_number 63
_symmetry_space_group_name_Hall '-C 2c 2'
loop_
_atom_site_label
_atom_site_fract_x
_atom_site_fract_y
_atom_site_fract_z
Sm1 0.000 0.177 0.250
Dy1 0.000 0.094 0.750
Dy2 0.000 0.138 0.025
Dy3 0.000 0.454 0.114
Sb1 0.000 0.258 0.626
```

---

2.
Density functional theory data (PBE-GGA) for a geometry-optimized Sm3DySb4 structure.

Computed properties:
The energy above the most stable polymorph in this dataset comes out at 0 meV/atom. The crystal system is cubic. The calculation puts the formation energy from raw total energies at -9.3 eV/f.u. The total magnetization is 0.00 Bohr magnetons per cell. The electronic total energy is -5.57 eV/atom.

Cell and atoms, written as CIF:
```
data_Sm3DySb4
_chemical_formula_sum 'Sm3 Dy1 Sb4'
_cell_length_a 6.289
_cell_length_b 6.289
_cell_length_c 6.289
_cell_angle_alpha 90.00
_cell_angle_beta 90.00
_cell_angle_gamma 90.00
_symmetry_space_group_name_H-M 'P m -3 m'
_symmetry_Int_Tables_number 221
_symmetry_space_group_name_Hall '-P 4 2 3'
loop_
_atom_site_label
_atom_site_fract_x
_atom_site_fract_y
_atom_site_fract_z
Sm1 0.000 0.000 0.500
Dy1 0.500 0.500 0.500
Sb1 0.000 0.000 0.000
Sb2 0.000 0.500 0.500
```

---

3.
Density functional theory data (PBE-GGA) for a geometry-optimized SmDy2Sb structure.

Computed properties:
The energy above the most stable polymorph in this dataset comes out at 244 meV/atom. The crystal system is trigonal. The calculation puts the formation energy from raw total energies at -1.3 eV/f.u. The total magnetization is 0.00 Bohr magnetons per cell. The electronic total energy is -4.83 eV/atom.

Cell and atoms, written as CIF:
```
data_SmDy2Sb
_chemical_formula_sum 'Sm3 Dy6 Sb3'
_cell_length_a 3.9632
_cell_length_b 3.9632
_cell_length_c 29.2093
_cell_angle_alpha 90.00
_cell_angle_beta 90.00
_cell_angle_gamma 120.00
_symmetry_space_group_name_H-M 'R -3 m'
_symmetry_Int_Tables_number 166
_symmetry_space_group_name_Hall '-R 3 2"'
loop_
_atom_site_label
_atom_site_fract_x
_atom_site_fract_y
_atom_site_fract_z
Sm1 0.0000 0.0000 0.0000
Dy1 0.0000 0.0000 0.2336
Sb1 0.0000 0.0000 0.5000
```

---

4.
Density functional theory data (PBE-GGA) for a geometry-optimized SmDy2Sb structure.

Computed properties:
The energy above the most stable polymorph in this dataset comes out at 63 meV/atom. The crystal system is tetragonal. The calculation puts the formation energy from raw total energies at -2.0 eV/f.u. The total magnetization is 0.00 Bohr magnetons per cell. The electronic total energy is -5.01 eV/atom.

Cell and atoms, written as CIF:
```
data_SmDy2Sb
_chemical_formula_sum 'Sm1 Dy2 Sb1'
_cell_length_a 4.824
_cell_length_b 4.824
_cell_length_c 4.788
_cell_angle_alpha 90.00
_cell_angle_beta 90.00
_cell_angle_gamma 90.00
_symmetry_space_group_name_H-M 'P 4/m m m'
_symmetry_Int_Tables_number 123
_symmetry_space_group_name_Hall '-P 4 2'
loop_
_atom_site_label
_atom_site_fract_x
_atom_site_fract_y
_atom_site_fract_z
Sm1 0.000 0.000 0.000
Dy1 0.000 0.500 0.500
Sb1 0.500 0.500 0.000
```

---

5.
Density functional theory data (PBE-GGA) for a geometry-optimized SmDySb2 structure.

Computed properties:
The energy above the most stable polymorph in this dataset comes out at 73 meV/atom. The crystal system is hexagonal. The calculation puts the formation energy from raw total energies at -4.3 eV/f.u. The total magnetization is 0.00 Bohr magnetons per cell. The electronic total energy is -5.47 eV/atom.

Cell and atoms, written as CIF:
```
data_SmDySb2
_chemical_formula_sum 'Sm2 Dy2 Sb4'
_cell_length_a 4.4208
_cell_length_b 4.4208
_cell_length_c 14.5618
_cell_angle_alpha 90.00
_cell_angle_beta 90.00
_cell_angle_gamma 120.00
_symmetry_space_group_name_H-M 'P 63/m m c'
_symmetry_Int_Tables_number 194
_symmetry_space_group_name_Hall '-P 6c 2c'
loop_
_atom_site_label
_atom_site_fract_x
_atom_site_fract_y
_atom_site_fract_z
Sm1 0.0000 0.0000 0.0000
Dy1 0.3333 0.6667 0.2500
Sb1 0.3333 0.6667 0.6254
```

---

6.
Density functional theory data (PBE-GGA) for a geometry-optimized SmDy2Sb structure.

Computed properties:
The energy above the most stable polymorph in this dataset comes out at 85 meV/atom. The crystal system is tetragonal. The calculation puts the formation energy from raw total energies at -1.9 eV/f.u. The total magnetization is 0.00 Bohr magnetons per cell. The electronic total energy is -4.99 eV/atom.

Cell and atoms, written as CIF:
```
data_SmDy2Sb
_chemical_formula_sum 'Sm1 Dy2 Sb1'
_cell_length_a 3.991
_cell_length_b 3.991
_cell_length_c 7.344
_cell_angle_alpha 90.00
_cell_angle_beta 90.00
_cell_angle_gamma 90.00
_symmetry_space_group_name_H-M 'P 4/m m m'
_symmetry_Int_Tables_number 123
_symmetry_space_group_name_Hall '-P 4 2'
loop_
_atom_site_label
_atom_site_fract_x
_atom_site_fract_y
_atom_site_fract_z
Sm1 0.000 0.000 0.000
Dy1 0.500 0.500 0.281
Sb1 0.000 0.000 0.500
```

---

7.
Density functional theory data (PBE-GGA) for a geometry-optimized Sm2DySb structure.

Computed properties:
The energy above the most stable polymorph in this dataset comes out at 28 meV/atom. The crystal system is tetragonal. The calculation puts the formation energy from raw total energies at -2.0 eV/f.u. The total magnetization is 0.00 Bohr magnetons per cell. The electronic total energy is -5.05 eV/atom.

Cell and atoms, written as CIF:
```
data_Sm2DySb
_chemical_formula_sum 'Sm2 Dy1 Sb1'
_cell_length_a 4.831
_cell_length_b 4.831
_cell_length_c 4.870
_cell_angle_alpha 90.00
_cell_angle_beta 90.00
_cell_angle_gamma 90.00
_symmetry_space_group_name_H-M 'P 4/m m m'
_symmetry_Int_Tables_number 123
_symmetry_space_group_name_Hall '-P 4 2'
loop_
_atom_site_label
_atom_site_fract_x
_atom_site_fract_y
_atom_site_fract_z
Sm1 0.000 0.500 0.000
Dy1 0.000 0.000 0.500
Sb1 0.500 0.500 0.500
```

---

8.
Density functional theory data (PBE-GGA) for a geometry-optimized Sm3DySb2 structure.

Computed properties:
The energy above the most stable polymorph in this dataset comes out at 0 meV/atom. The crystal system is tetragonal. The calculation puts the formation energy from raw total energies at -4.9 eV/f.u. The total magnetization is 0.00 Bohr magnetons per cell. The electronic total energy is -5.32 eV/atom.

Cell and atoms, written as CIF:
```
data_Sm3DySb2
_chemical_formula_sum 'Sm3 Dy1 Sb2'
_cell_length_a 4.533
_cell_length_b 4.533
_cell_length_c 8.679
_cell_angle_alpha 90.00
_cell_angle_beta 90.00
_cell_angle_gamma 90.00
_symmetry_space_group_name_H-M 'P -4 m 2'
_symmetry_Int_Tables_number 115
_symmetry_space_group_name_Hall 'P -4 -2'
loop_
_atom_site_label
_atom_site_fract_x
_atom_site_fract_y
_atom_site_fract_z
Sm1 0.000 0.000 0.000
Sm2 0.000 0.500 0.647
Dy1 0.500 0.500 0.000
Sb1 0.000 0.500 0.277
```

---

Which value of formation energy from raw total energies does entry 6 give?
-1.9 eV/f.u.